(1)
A relaxed NaSc2CuO4 crystal, computed with GGA-PBE.

Lattice parameters (Å, degrees): 5.634 5.634 11.356 90.00 90.00 146.69
Fractional positions:
Na1 0.067 0.933 0.750
Na2 0.933 0.067 0.250
Sc1 0.368 0.632 0.565
Sc2 0.368 0.632 0.935
Sc3 0.632 0.368 0.065
Sc4 0.632 0.368 0.435
Cu1 0.227 0.773 0.250
Cu2 0.773 0.227 0.750
O1 0.000 0.000 0.000
O2 0.000 0.000 0.500
O3 0.255 0.745 0.090
O4 0.255 0.745 0.410
O5 0.421 0.579 0.750
O6 0.579 0.421 0.250
O7 0.745 0.255 0.590
O8 0.745 0.255 0.910

Output
The calculation puts the mass density at 4.03 g cm⁻³. As for the spin magnetization: 0.00 μB per cell. As for the space-group type: Cmcm. The calculation puts the formation energy (no corrections) at -2434 meV per atom.


(2)
A relaxed ReSi2Hg2 crystal, computed with GGA-PBE.

Lattice parameters (Å, degrees): 6.393 6.393 4.432 90.00 90.00 90.00
Fractional positions:
Re1 0.000 0.000 0.000
Re2 0.500 0.500 0.000
Si1 0.131 0.369 0.000
Si2 0.369 0.869 0.000
Si3 0.631 0.131 0.000
Si4 0.869 0.631 0.000
Hg1 0.201 0.701 0.500
Hg2 0.299 0.201 0.500
Hg3 0.701 0.799 0.500
Hg4 0.799 0.299 0.500

Output
The calculation puts the mass density at 11.80 g cm⁻³. As for the spin magnetization: 0.00 μB per cell. As for the space-group type: P4/mbm. Its polymorph energy (0 for the lowest one) is 0 meV/atom. The calculation puts the formation energy (no corrections) at 578 meV per atom.


(3)
A relaxed Sn2HgF crystal, computed with GGA-PBE.

Lattice parameters (Å, degrees): 8.850 8.850 8.850 146.02 146.02 48.82
Fractional positions:
Sn1 0.026 0.625 0.901
Sn2 0.375 0.276 0.401
Sn3 0.724 0.125 0.099
Sn4 0.875 0.974 0.599
Hg1 0.250 0.750 0.500
Hg2 0.500 0.500 0.000
F1 0.000 0.000 0.000
F2 0.750 0.250 0.500

Output
The calculation puts the mass density at 7.04 g cm⁻³. As for the spin magnetization: 0.00 μB per cell. As for the space-group type: I-42d. Its polymorph energy (0 for the lowest one) is 0 meV/atom. The calculation puts the formation energy (no corrections) at -574 meV per atom.


(4)
A relaxed H3PtSe crystal, computed with GGA-PBE.

Lattice parameters (Å, degrees): 7.014 7.014 3.840 97.36 97.36 45.62
Fractional positions:
H1 0.022 0.022 0.447
H2 0.042 0.577 0.237
H3 0.423 0.958 0.763
H4 0.577 0.042 0.237
H5 0.958 0.423 0.763
H6 0.978 0.978 0.553
Pt1 0.265 0.265 0.016
Pt2 0.735 0.735 0.984
Se1 0.432 0.432 0.760
Se2 0.568 0.568 0.240

Output
The calculation puts the mass density at 6.88 g cm⁻³. As for the spin magnetization: 0.00 μB per cell. As for the space-group type: C2/m. Its polymorph energy (0 for the lowest one) is 0 meV/atom.


(5)
A relaxed Hg2RuRh crystal, computed with GGA-PBE.

Lattice parameters (Å, degrees): 4.648 4.648 4.648 60.00 60.00 60.00
Fractional positions:
Hg1 0.000 0.000 0.000
Hg2 0.250 0.250 0.250
Ru1 0.500 0.500 0.500
Rh1 0.750 0.750 0.750

Output
The calculation puts the mass density at 14.15 g cm⁻³. As for the spin magnetization: 2.41 μB per cell. As for the space-group type: F-43m. Its polymorph energy (0 for the lowest one) is 289 meV/atom. The energy of formation from the pure elements comes out at 0.550 eV/atom.


(6)
A relaxed Er2CdCu3 crystal, computed with GGA-PBE.

Lattice parameters (Å, degrees): 8.822 8.350 5.656 75.35 66.31 38.34
Fractional positions:
Er1 0.242 0.758 0.758
Er2 0.250 0.250 0.250
Er3 0.750 0.750 0.750
Er4 0.758 0.242 0.242
Cd1 0.334 0.334 0.666
Cd2 0.666 0.666 0.334
Cu1 0.161 0.161 0.839
Cu2 0.161 0.676 0.324
Cu3 0.324 0.839 0.161
Cu4 0.676 0.161 0.839
Cu5 0.839 0.324 0.676
Cu6 0.839 0.839 0.161

Output
The calculation puts the mass density at 9.00 g cm⁻³. As for the spin magnetization: 0.00 μB per cell. As for the space-group type: Fmmm. The energy of formation from the pure elements comes out at -0.208 eV/atom.


(7)
A relaxed PmEr5Rh4 crystal, computed with GGA-PBE.

Lattice parameters (Å, degrees): 8.497 8.497 6.992 105.92 105.92 30.60
Fractional positions:
Pm1 0.000 0.000 0.000
Er1 0.000 0.000 0.500
Er2 0.305 0.305 0.736
Er3 0.360 0.360 0.242
Er4 0.640 0.640 0.758
Er5 0.695 0.695 0.264
Rh1 0.186 0.186 0.001
Rh2 0.463 0.463 0.687
Rh3 0.537 0.537 0.313
Rh4 0.814 0.814 0.999

Output
The calculation puts the mass density at 9.39 g cm⁻³. As for the spin magnetization: 0.00 μB per cell. As for the space-group type: C2/m. Its polymorph energy (0 for the lowest one) is 120 meV/atom. The energy of formation from the pure elements comes out at -0.631 eV/atom.


(8)
A relaxed K2AsOs crystal, computed with GGA-PBE.

Lattice parameters (Å, degrees): 3.294 3.294 10.234 90.00 90.00 90.00
Fractional positions:
K1 0.000 0.000 0.000
K2 0.500 0.500 0.417
As1 0.500 0.500 0.761
Os1 0.000 0.000 0.662

Output
The calculation puts the mass density at 5.14 g cm⁻³. As for the spin magnetization: 0.00 μB per cell. As for the space-group type: P4mm. The energy of formation from the pure elements comes out at 0.288 eV/atom.


(9)
A relaxed KRbSrLi crystal, computed with GGA-PBE.

Lattice parameters (Å, degrees): 6.836 6.836 6.836 60.00 60.00 60.00
Fractional positions:
K1 0.000 0.000 0.000
Rb1 0.750 0.750 0.750
Sr1 0.250 0.250 0.250
Li1 0.500 0.500 0.500

Output
The calculation puts the mass density at 1.61 g cm⁻³. As for the spin magnetization: 0.00 μB per cell. As for the space-group type: F-43m. The energy of formation from the pure elements comes out at 0.187 eV/atom.


(10)
A relaxed NaCeLu2 crystal, computed with GGA-PBE.

Lattice parameters (Å, degrees): 12.438 12.438 12.438 15.81 15.81 15.81
Fractional positions:
Na1 0.000 0.000 0.000
Ce1 0.500 0.500 0.500
Lu1 0.093 0.093 0.093
Lu2 0.907 0.907 0.907

Output
The calculation puts the mass density at 6.85 g cm⁻³. As for the spin magnetization: 0.11 μB per cell. As for the space-group type: R-3m. The energy of formation from the pure elements comes out at 0.199 eV/atom.


(11)
A relaxed NdSmYTh2 crystal, computed with GGA-PBE.

Lattice parameters (Å, degrees): 8.610 8.610 6.723 90.00 90.00 134.21
Fractional positions:
Nd1 0.151 0.849 0.750
Nd2 0.849 0.151 0.250
Sm1 0.269 0.731 0.250
Sm2 0.731 0.269 0.750
Y1 0.347 0.653 0.750
Y2 0.653 0.347 0.250
Th1 0.254 0.254 0.000
Th2 0.254 0.254 0.500
Th3 0.746 0.746 0.000
Th4 0.746 0.746 0.500

Output
The calculation puts the mass density at 7.88 g cm⁻³. As for the spin magnetization: 0.00 μB per cell. As for the space-group type: Cmcm. The energy of formation from the pure elements comes out at 0.395 eV/atom.


(12)
A relaxed Ac8La6In crystal, computed with GGA-PBE.

Lattice parameters (Å, degrees): 10.037 10.037 7.323 90.00 90.00 120.00
Fractional positions:
Ac1 0.035 0.692 0.380
Ac2 0.308 0.342 0.380
Ac3 0.333 0.667 0.749
Ac4 0.342 0.035 0.620
Ac5 0.658 0.965 0.380
Ac6 0.667 0.333 0.251
Ac7 0.692 0.658 0.620
Ac8 0.965 0.308 0.620
La1 0.048 0.367 0.104
La2 0.319 0.952 0.104
La3 0.367 0.319 0.896
La4 0.633 0.681 0.104
La5 0.681 0.048 0.896
La6 0.952 0.633 0.896
In1 0.000 0.000 0.000

Output
The calculation puts the mass density at 7.19 g cm⁻³. As for the spin magnetization: 0.00 μB per cell. As for the space-group type: P-3. The energy of formation from the pure elements comes out at 0.165 eV/atom.